(1)
Density functional theory data (GGA-PBE) for crystalline NaLa5Pb6 at its relaxed geometry.

The formation energy is -526 meV/atom.

The structure belongs to space group Immm (No. 71); the cell edges are 5.1345, 9.2838 and 15.7776 Å and the angles 90.00°, 90.00° and 90.00°. The distinct sites, in fractional coordinates, are Na at (0.0000, 0.0000, 0.0000), La at (0.0000, 0.0000, 0.3337), La at (0.0000, 0.5000, 0.0000), La at (0.0000, 0.5000, 0.3443), Pb at (0.0000, 0.2497, 0.1678) and Pb at (0.0000, 0.2520, 0.5000).

(2)
Density functional theory data (GGA-PBE) for crystalline NaLa4Pb3 at its relaxed geometry.

The formation energy is -428 meV/atom.

The structure belongs to space group Fmmm (No. 69); the cell edges are 7.4731, 7.4825 and 18.2253 Å and the angles 90.00°, 90.00° and 90.00°. The distinct sites, in fractional coordinates, are Na at (0.0000, 0.0000, 0.0000), La at (0.2500, 0.2500, 0.1280), Pb at (0.0000, 0.0000, 0.2492) and Pb at (0.0000, 0.0000, 0.5000).

(3)
Density functional theory data (GGA-PBE) for crystalline NaLa5Pb3 at its relaxed geometry.

The formation energy is -479 meV/atom.

The structure belongs to space group P6_3/mcm (No. 193); the cell edges are 9.9649, 9.9649 and 6.8839 Å and the angles 90.00°, 90.00° and 120.00°. The distinct sites, in fractional coordinates, are Na at (0.0000, 0.0000, 0.0000), La at (0.0000, 0.3192, 0.2500), La at (0.3333, 0.6667, 0.0000) and Pb at (0.0000, 0.3454, 0.7500).

(4)
Density functional theory data (GGA-PBE) for crystalline NaLaPb3 at its relaxed geometry.

The formation energy is 341 meV/atom. The energy relative to the lowest polymorph listed for this composition comes out at 219 meV per atom.

The structure belongs to space group Pm-3m (No. 221); the cell edges are 6.1792, 6.1792 and 6.1792 Å and the angles 90.00°, 90.00° and 90.00°. The distinct sites, in fractional coordinates, are Na at (0.0000, 0.0000, 0.0000), La at (0.5000, 0.5000, 0.5000) and Pb at (0.0000, 0.5000, 0.5000).

What did the third record say?
Density functional theory data (GGA-PBE) for crystalline NaLa5Pb3 at its relaxed geometry.

The formation energy is -479 meV/atom.

The structure belongs to space group P6_3/mcm (No. 193); the cell edges are 9.9649, 9.9649 and 6.8839 Å and the angles 90.00°, 90.00° and 120.00°. The distinct sites, in fractional coordinates, are Na at (0.0000, 0.0000, 0.0000), La at (0.0000, 0.3192, 0.2500), La at (0.3333, 0.6667, 0.0000) and Pb at (0.0000, 0.3454, 0.7500).